No. 1
This record from the Alexandria database describes TaTl2Cl after structural relaxation. The functional is GGA-PBE.

## Properties
Energy relative to the lowest polymorph listed for this composition in eV/atom: 0.000

Unit cell a=3.2375 b=3.2375 c=33.0763 alpha=90.00 beta=90.00 gamma=120.00
Space group R3m (No. 160, hexagonal axes)
One atom of each set of equivalent atoms:
Ta: 0.0000 0.0000 0.0000 x3
Tl: 0.0000 0.0000 0.2585 x3
Tl: 0.0000 0.0000 0.5068 x3
Cl: 0.0000 0.0000 0.7181 x3

***

No. 2
This record from the Alexandria database describes ZrRh3 after structural relaxation. The functional is GGA-PBE.

## Properties
Energy of formation in eV/atom: -0.5555

Unit cell a=3.999 b=3.999 c=7.875 alpha=90.00 beta=90.00 gamma=90.00
Space group I4/mmm (No. 139)
One atom of each set of equivalent atoms:
Zr: 0.000 0.000 0.000 x2
Rh: 0.000 0.000 0.500 x2
Rh: 0.000 0.500 0.250 x4

***

No. 3
This record from the Alexandria database describes LiYCd3 after structural relaxation. The functional is GGA-PBE.

## Properties
Energy relative to the lowest polymorph listed for this composition in eV/atom: 0.047
Energy of formation in eV/atom: -0.1988

Unit cell a=6.8088 b=6.8088 c=5.5287 alpha=90.00 beta=90.00 gamma=120.00
Space group P6_3/mmc (No. 194)
One atom of each set of equivalent atoms:
Li: 0.0000 0.0000 0.0000 x2
Y: 0.3333 0.6667 0.2500 x2
Cd: 0.1881 0.3762 0.7500 x6

***

No. 4
This record from the Alexandria database describes Tl4In6Pb after structural relaxation. The functional is GGA-PBE.

## Properties
Energy of formation in eV/atom: 0.0404

Unit cell a=3.454 b=22.359 c=16.828 alpha=90.00 beta=90.00 gamma=90.00
Space group Cmcm (No. 63)
One atom of each set of equivalent atoms:
Tl: 0.000 0.121 0.144 x8
Tl: 0.000 0.370 0.052 x8
In: 0.000 0.000 0.000 x4
In: 0.000 0.249 0.250 x4
In: 0.000 0.256 0.585 x8
In: 0.000 0.493 0.160 x8
Pb: 0.000 0.123 0.750 x4

***

No. 5
This record from the Alexandria database describes Nd12CdPb3 after structural relaxation. The functional is GGA-PBE.

## Properties
Energy of formation in eV/atom: -0.2819

Unit cell a=5.005 b=5.005 c=19.915 alpha=90.00 beta=90.00 gamma=90.00
Space group P4/mmm (No. 123)
One atom of each set of equivalent atoms:
Nd: 0.000 0.000 0.000 x1
Nd: 0.000 0.000 0.249 x2
Nd: 0.000 0.000 0.500 x1
Nd: 0.000 0.500 0.125 x4
Nd: 0.000 0.500 0.375 x4
Cd: 0.500 0.500 0.000 x1
Pb: 0.500 0.500 0.249 x2
Pb: 0.500 0.500 0.500 x1

***

No. 6
This record from the Alexandria database describes Rb2TlSn after structural relaxation. The functional is GGA-PBE.

## Properties
Energy relative to the lowest polymorph listed for this composition in eV/atom: 0.157
Energy of formation in eV/atom: 0.0789

Unit cell a=8.790 b=8.790 c=8.790 alpha=90.00 beta=90.00 gamma=90.00
Space group Fm-3m (No. 225)
One atom of each set of equivalent atoms:
Rb: 0.250 0.250 0.250 x8
Tl: 0.000 0.000 0.000 x4
Sn: 0.000 0.000 0.500 x4

***

No. 7
This record from the Alexandria database describes La2MgCr4 after structural relaxation. The functional is GGA-PBE.

## Properties
Energy of formation in eV/atom: 1.0401

Unit cell a=4.847 b=4.847 c=15.523 alpha=90.00 beta=90.00 gamma=90.00
Space group I4/mmm (No. 139)
One atom of each set of equivalent atoms:
La: 0.000 0.000 0.128 x4
Mg: 0.000 0.000 0.500 x2
Cr: 0.000 0.000 0.333 x4
Cr: 0.000 0.500 0.000 x4

***

No. 8
This record from the Alexandria database describes OsPbAu2 after structural relaxation. The functional is GGA-PBE.

## Properties
Energy of formation in eV/atom: 0.7049

Unit cell a=3.057 b=5.070 c=10.206 alpha=90.00 beta=90.00 gamma=90.00
Space group Cmm2 (No. 35)
One atom of each set of equivalent atoms:
Os: 0.000 0.000 0.000 x2
Pb: 0.000 0.500 0.246 x2
Au: 0.000 0.000 0.540 x2
Au: 0.000 0.500 0.776 x2

***

No. 9
This record from the Alexandria database describes KSrCoRh2 after structural relaxation. The functional is GGA-PBE.

## Properties
Energy of formation in eV/atom: 1.5301

Unit cell a=5.166 b=5.166 c=5.252 alpha=90.00 beta=90.00 gamma=90.00
Space group P4/mmm (No. 123)
One atom of each set of equivalent atoms:
K: 0.000 0.000 0.000 x1
Sr: 0.500 0.500 0.500 x1
Co: 0.500 0.500 0.000 x1
Rh: 0.000 0.500 0.500 x2

***

No. 10
This record from the Alexandria database describes Tm3Fe7Si2 after structural relaxation. The functional is GGA-PBE.

## Properties
DFT total energy in eV/atom: -7.3313

Unit cell a=5.1074 b=5.1074 c=23.3990 alpha=90.00 beta=90.00 gamma=120.00
Space group R-3m (No. 166, hexagonal axes)
One atom of each set of equivalent atoms:
Tm: 0.0000 0.0000 0.0000 x3
Tm: 0.0000 0.0000 0.1413 x6
Fe: 0.0000 0.0000 0.5000 x3
Fe: 0.0014 0.5007 0.0801 x18
Si: 0.0000 0.0000 0.3328 x6

***

No. 11
This record from the Alexandria database describes Sn4PtRh after structural relaxation. The functional is GGA-PBE.

## Properties
Energy relative to the lowest polymorph listed for this composition in eV/atom: 0.000
Energy of formation in eV/atom: -0.4428

Unit cell a=4.579 b=4.579 c=6.445 alpha=90.00 beta=90.00 gamma=90.00
Space group P4/mmm (No. 123)
One atom of each set of equivalent atoms:
Sn: 0.000 0.500 0.245 x4
Pt: 0.000 0.000 0.500 x1
Rh: 0.500 0.500 0.000 x1

***

No. 12
This record from the Alexandria database describes BaBi3N after structural relaxation. The functional is GGA-PBE.

## Properties
Energy relative to the lowest polymorph listed for this composition in eV/atom: 2.039

Unit cell a=6.396 b=6.396 c=6.396 alpha=90.00 beta=90.00 gamma=90.00
Space group Pm-3m (No. 221)
One atom of each set of equivalent atoms:
Ba: 0.000 0.000 0.000 x1
Bi: 0.000 0.000 0.500 x3
N: 0.500 0.500 0.500 x1

***

| no. | M_tot (μB/atom) |
| --- | --- |
| 1 | 0.000 |
| 2 | 0.000 |
| 3 | 0.000 |
| 4 | 0.000 |
| 5 | 0.000 |
| 6 | 0.237 |
| 7 | 0.224 |
| 8 | 0.222 |
| 9 | 0.435 |
| 10 | 0.885 |
| 11 | 0.000 |
| 12 | 0.000 |